A plane-wave DFT calculation with PBE was carried out for an optimized crystal structure of Ba3Pd2Cl.

## Properties
ΔE_f (raw) in eV per atom: -0.761
Total magnetic moment in Bohr magnetons per cell: 0.00
N(E_F) in states/eV/atom: 0.466

Geometry as POSCAR:
```
Ba3Pd2Cl
1.0
-4.478 1.763 0.302
-0.281 -7.871 3.288
2.332 4.177 10.199
Ba Pd Cl
6 4 2
direct
0.619 0.237 0.064
0.118 0.237 0.750
0.619 0.237 0.436
0.882 0.763 0.250
0.381 0.763 0.936
0.381 0.763 0.564
0.000 0.000 0.000
0.000 0.000 0.500
0.486 0.972 0.250
0.514 0.028 0.750
0.226 0.452 0.250
0.774 0.548 0.750
```

A plane-wave DFT calculation with PBE was carried out for an optimized crystal structure of BaPdCl2.

## Properties
ΔE_f (raw) in eV per atom: -1.258
Total magnetic moment in Bohr magnetons per cell: 0.00
N(E_F) in states/eV/atom: 0.000

Geometry as POSCAR:
```
BaPdCl2
1.0
5.296 0.000 0.000
0.000 5.296 0.000
2.648 2.648 8.410
Ba Pd Cl
2 2 4
direct
0.000 0.000 0.000
0.750 0.250 0.500
0.500 0.500 0.000
0.250 0.750 0.500
0.560 0.125 0.250
0.190 0.625 0.250
0.375 0.440 0.750
0.875 0.810 0.750
```

A plane-wave DFT calculation with PBE was carried out for an optimized crystal structure of Ba2Pd2Cl.

## Properties
ΔE_f (raw) in eV per atom: -0.739
Total magnetic moment in Bohr magnetons per cell: 0.00
N(E_F) in states/eV/atom: 0.886

Geometry as POSCAR:
```
Ba2Pd2Cl
1.0
6.009 0.000 0.000
0.000 6.009 0.000
3.004 3.004 4.263
Ba Pd Cl
2 2 1
direct
0.750 0.250 0.500
0.250 0.750 0.500
0.348 0.348 0.303
0.652 0.652 0.697
0.000 0.000 0.000
```

A plane-wave DFT calculation with PBE was carried out for an optimized crystal structure of BaPd2Cl8.

## Properties
ΔE_f (raw) in eV per atom: -0.834
Total magnetic moment in Bohr magnetons per cell: 2.18
N(E_F) in states/eV/atom: 1.795

Geometry as POSCAR:
```
BaPd2Cl8
1.0
-4.795 3.329 4.073
-5.252 -3.342 -3.452
5.296 -4.858 3.985
Ba Pd Cl
1 2 8
direct
0.500 0.500 0.000
0.750 0.250 0.500
0.250 0.750 0.500
0.797 0.280 0.251
0.029 0.545 0.749
0.720 0.203 0.749
0.203 0.029 0.749
0.455 0.971 0.251
0.971 0.797 0.251
0.280 0.455 0.251
0.545 0.720 0.749
```